# 1
This record from Alexandria describes a geometry-optimized Ti12Sn3As5 structure. The functional is GGA-PBE.

Properties
- Crystal system: cubic
- Formation enthalpy at 0 K: -0.108 eV per atom

```
80
Lattice="-7.6130 7.6130 7.6130 7.6130 -7.6130 7.6130 7.6130 7.6130 -7.6130" Properties=species:S:1:pos:R:3 pbc="T T T"
Ti 2.2893 -0.2138 1.0250
Ti 9.1301 4.8315 -4.0203
Ti 9.9023 0.2138 1.0250
Ti 9.1301 -2.7815 4.0203
Ti 7.3992 -1.0250 2.2893
Ti 11.6332 -1.5172 2.7815
Ti 1.0250 2.2893 -0.2138
Ti 10.3944 3.5927 -1.5172
Ti 4.8315 4.0203 -1.5172
Ti 6.5880 2.2893 0.2138
Ti -0.2138 1.0250 2.2893
Ti 4.0203 -1.5172 4.8315
Ti 7.3992 6.5880 -2.2893
Ti 4.0203 1.5172 2.7815
Ti 4.8315 -4.0203 9.1301
Ti 6.5880 -2.2893 7.3992
Ti 2.7815 4.0203 1.5172
Ti 8.6380 5.3237 0.2138
Ti 4.0203 9.1301 -2.7815
Ti 7.3992 1.0250 5.3237
Ti 2.2893 7.3992 -1.0250
Ti 9.1301 2.7815 3.5927
Ti 1.5172 2.7815 4.0203
Ti 2.2893 0.2138 6.5880
Ti 5.3237 7.3992 1.0250
Ti 6.0958 4.8315 3.5927
Ti -1.5172 4.8315 4.0203
Ti 5.3237 0.2138 8.6380
Ti 0.2138 6.5880 2.2893
Ti 3.5927 -1.5172 10.3944
Ti -1.0250 2.2893 7.3992
Ti 4.8315 3.5927 6.0958
Ti 1.0250 9.9023 0.2138
Ti 2.7815 11.6332 -1.5172
Ti 3.5927 6.0958 4.8315
Ti 0.2138 1.0250 9.9023
Ti 3.5927 9.1301 2.7815
Ti 7.8267 6.5880 5.3237
Ti 1.0250 5.3237 7.3992
Ti 2.7815 3.5927 9.1301
Ti -2.7815 4.0203 9.1301
Ti 6.5880 5.3237 7.8267
Ti -4.0203 9.1301 4.8315
Ti 0.2138 8.6380 5.3237
Ti -1.5172 10.3944 3.5927
Ti -2.2893 7.3992 6.5880
Ti -1.5172 2.7815 11.6332
Ti 5.3237 7.8267 6.5880
Sn 3.8065 1.9032 0.0000
Sn 7.6130 3.8065 -1.9032
Sn 1.9032 0.0000 3.8065
Sn 9.5162 0.0000 3.8065
Sn 0.0000 3.8065 1.9032
Sn 3.8065 -1.9032 7.6130
Sn 3.8065 9.5162 0.0000
Sn 7.6130 3.8065 5.7097
Sn -1.9032 7.6130 3.8065
Sn 5.7097 7.6130 3.8065
Sn 0.0000 3.8065 9.5162
Sn 3.8065 5.7097 7.6130
As 0.0000 0.0000 0.0000
As 3.8065 3.8065 -3.8065
As 3.8065 -3.8065 3.8065
As 7.6130 0.0000 0.0000
As 11.4194 1.9032 0.0000
As 7.6130 -3.8065 5.7097
As 5.7097 7.6130 -3.8065
As 5.7097 0.0000 3.8065
As 3.8065 5.7097 0.0000
As 7.6130 3.8065 1.9032
As -3.8065 3.8065 3.8065
As 0.0000 7.6130 0.0000
As 0.0000 0.0000 7.6130
As 3.8065 3.8065 3.8065
As 0.0000 3.8065 5.7097
As 3.8065 1.9032 7.6130
As 1.9032 7.6130 3.8065
As 1.9032 0.0000 11.4194
As 0.0000 11.4194 1.9032
As -3.8065 5.7097 7.6130
```

---

# 2
This record from Alexandria describes a geometry-optimized PuZr2Ni9 structure. The functional is GGA-PBE.

Properties
- Crystal system: trigonal
- Formation enthalpy at 0 K: -0.353 eV per atom

```
12
Lattice="2.4492 1.4140 7.9582 -2.4492 1.4140 7.9582 0.0000 -2.8281 7.9582" Properties=species:S:1:pos:R:3 pbc="T T T"
Pu 0.0000 0.0000 0.0000
Zr 0.0000 0.0000 3.3238
Zr 0.0000 0.0000 20.5508
Ni -1.2391 -0.7154 9.9898
Ni 0.0000 0.0000 7.9619
Ni 0.0000 -1.4308 13.8848
Ni -1.2391 0.7154 13.8848
Ni 0.0000 0.0000 11.9373
Ni 1.2391 -0.7154 9.9898
Ni 0.0000 1.4308 9.9898
Ni 0.0000 0.0000 15.9128
Ni 1.2391 0.7154 13.8848
```

---

# 3
This record from Alexandria describes a geometry-optimized VSiRh3 structure. The functional is GGA-PBE.

Properties
- Crystal system: cubic
- Formation energy (no corrections): 0.84 eV per atom

```
5
Lattice="4.4721 0.0000 0.0000 0.0000 4.4721 0.0000 0.0000 0.0000 4.4721" Properties=species:S:1:pos:R:3 pbc="T T T"
V 0.0000 0.0000 0.0000
Si 2.2360 2.2360 2.2360
Rh 0.0000 0.0000 2.2360
Rh 0.0000 2.2360 0.0000
Rh 2.2360 0.0000 0.0000
```

---

# 4
This record from Alexandria describes a geometry-optimized V5Cr2OsRu2 structure. The functional is GGA-PBE.

Properties
- Crystal system: tetragonal
- Formation enthalpy at 0 K: 0.194 eV per atom

```
20
Lattice="9.5856 0.0000 0.0000 0.0000 9.5856 0.0000 0.0000 0.0000 3.0021" Properties=species:S:1:pos:R:3 pbc="T T T"
V 0.0000 4.7928 0.0000
V 0.4034 1.9729 0.0000
V 1.9729 9.1822 0.0000
V 2.8199 4.3894 0.0000
V 4.3894 6.7657 0.0000
V 4.7928 0.0000 0.0000
V 5.1963 2.8199 0.0000
V 6.7657 5.1963 0.0000
V 7.6128 0.4034 0.0000
V 9.1822 7.6128 0.0000
Cr 1.2984 3.4944 1.5010
Cr 3.4944 8.2872 1.5010
Cr 6.0913 1.2984 1.5010
Cr 8.2872 6.0913 1.5010
Os 0.0000 0.0000 1.5010
Os 4.7928 4.7928 1.5010
Ru 1.6573 6.4502 1.5010
Ru 3.1355 1.6573 1.5010
Ru 6.4502 7.9283 1.5010
Ru 7.9283 3.1355 1.5010
```

---

# 5
This record from Alexandria describes a geometry-optimized CsSnPO2 structure. The functional is GGA-PBE.

Properties
- Crystal system: tetragonal
- Formation energy (no corrections): -0.38 eV per atom

```
5
Lattice="4.2603 0.0000 0.0000 0.0000 4.2603 0.0000 0.0000 0.0000 5.3260" Properties=species:S:1:pos:R:3 pbc="T T T"
Cs 0.0000 0.0000 0.0000
Sn 2.1302 2.1302 2.6630
P 2.1302 2.1302 0.0000
O 0.0000 2.1302 2.6630
O 2.1302 0.0000 2.6630
```

---

# 6
This record from Alexandria describes a geometry-optimized Ni3Ir2 structure. The functional is GGA-PBE.

Properties
- Crystal system: trigonal
- Formation enthalpy at 0 K: 0.388 eV per atom

```
5
Lattice="4.0649 0.0000 0.0000 -2.0325 3.5203 0.0000 0.0000 0.0000 4.9790" Properties=species:S:1:pos:R:3 pbc="T T T"
Ni 0.0000 0.0000 0.0000
Ni 0.0000 2.3469 1.8790
Ni 2.0325 1.1734 3.1000
Ir 0.0000 2.3469 4.2875
Ir 2.0325 1.1734 0.6915
```

---

# 7
This record from Alexandria describes a geometry-optimized GaTeRuI2 structure. The functional is GGA-PBE.

Properties
- Crystal system: tetragonal
- Formation energy (no corrections): 0.99 eV per atom

```
5
Lattice="5.5164 0.0000 0.0000 0.0000 5.5164 0.0000 0.0000 0.0000 5.4863" Properties=species:S:1:pos:R:3 pbc="T T T"
Ga 0.0000 0.0000 0.0000
Te 0.0000 0.0000 2.7432
Ru 2.7582 2.7582 2.7432
I 0.0000 2.7582 0.0000
I 2.7582 0.0000 0.0000
```

---

# 8
This record from Alexandria describes a geometry-optimized Pm2NiAs3Pd4 structure. The functional is GGA-PBE.

Properties
- Crystal system: tetragonal
- Formation enthalpy at 0 K: -0.767 eV per atom

```
10
Lattice="4.2931 0.0000 0.0000 0.0000 4.2931 0.0000 0.0000 0.0000 10.1794" Properties=species:S:1:pos:R:3 pbc="T T T"
Pm 0.0000 2.1465 2.5078
Pm 2.1465 0.0000 7.6716
Ni 2.1465 2.1465 0.0000
As 0.0000 0.0000 0.0000
As 0.0000 2.1465 6.4921
As 2.1465 0.0000 3.6873
Pd 0.0000 0.0000 5.0897
Pd 0.0000 2.1465 8.9223
Pd 2.1465 0.0000 1.2571
Pd 2.1465 2.1465 5.0897
```

---

no.,total energy (eV/atom)
1,-6.608
2,-7.308
3,-6.478
4,-9.268
5,-4.420
6,-6.625
7,-2.716
8,-5.768